An optimized crystal structure of CoGeTeO. Source: OQMD, functional PBE+U.

Cell: 5.9731 6.5159 8.3935 Å, 90.00 90.00 90.00°
Last column: nearest neighbours and their distance in Å.
Fractional positions:
Co 0.0076 0.2238 0.4304  2 O 1.94-1.99
Co 0.4924 0.7762 0.9304  2 O 1.94-1.99
Co 0.5076 0.2762 0.5696  2 O 1.94-1.99
Co 0.9924 0.7238 0.0696  2 O 1.94-1.99
Ge 0.0725 0.1675 0.9885  1 O 1.84
Ge 0.4275 0.8325 0.4885  1 O 1.84
Ge 0.5725 0.3325 0.0115  1 O 1.84
Ge 0.9275 0.6675 0.5115  1 O 1.84
Te 0.2461 0.5050 0.7552  2 Co 2.66-2.73
Te 0.2539 0.4950 0.2552  2 Co 2.66-2.73
Te 0.7461 0.9950 0.2448  2 Co 2.66-2.73
Te 0.7539 0.0050 0.7448  2 Co 2.66-2.73
O 0.2259 0.9229 0.9990  1 Ge 1.84, 2 Co 1.94-1.99
O 0.2741 0.0771 0.4990  1 Ge 1.84, 2 Co 1.94-1.99
O 0.7259 0.5771 0.0010  1 Ge 1.84, 2 Co 1.94-1.99
O 0.7741 0.4229 0.5010  1 Ge 1.84, 2 Co 1.94-1.99

M_tot in μB/f.u.: 3.00
E above lowest polymorph in eV per atom: 0.044